# Y2AlCo

A relaxed Y2AlCo crystal (PBE, Alexandria via LeMat-Bulk).

Cell: 7.773 7.773 6.261 Å, 51.63 51.63 90.00°
Positions (direct):
Co1 0.750 0.250 0.500
Co2 0.000 0.000 0.000
Y1 0.875 0.930 0.750
Y2 0.680 0.125 0.250
Y3 0.375 0.320 0.750
Y4 0.070 0.625 0.250
Al1 0.500 0.500 0.000
Al2 0.250 0.750 0.500

Values from the calculation:
E_form   134.5 meV/atom